Record 1
The following is a PBE-GGA calculation of a relaxed structure of PrHo5Tl8, from the Alexandria database.

CIF file:
```
data_PrHo5Tl8
_space_group_name_H-M_alt 'I -4'
_space_group_IT_number 82
_cell_length_a 9.2174
_cell_length_b 9.2174
_cell_length_c 9.4737
_cell_angle_alpha 90.00
_cell_angle_beta 90.00
_cell_angle_gamma 90.00
loop_
_space_group_symop_operation_xyz
'x,y,z'
'y,-x,-z'
'-x,-y,z'
'-y,x,-z'
'x+1/2,y+1/2,z+1/2'
'y+1/2,-x+1/2,-z+1/2'
'-x+1/2,-y+1/2,z+1/2'
'-y+1/2,x+1/2,-z+1/2'
loop_
_atom_site_label
_atom_site_type_symbol
_atom_site_fract_x
_atom_site_fract_y
_atom_site_fract_z
_atom_site_occupancy
Pr1 Pr 0.0000 0.0000 0.0000 1
Ho1 Ho 0.0000 0.5000 0.2500 1
Ho2 Ho 0.1327 0.2652 0.6403 1
Tl1 Tl 0.0766 0.1639 0.3126 1
Tl2 Tl 0.0915 0.3385 0.9639 1
```

Output
* energy of formation: -0.233 eV per atom


Record 2
The following is a PBE-GGA calculation of a relaxed structure of Pr7Ho2Tl2, from the Alexandria database.

CIF file:
```
data_Pr7Ho2Tl2
_space_group_name_H-M_alt 'I m m 2'
_space_group_IT_number 44
_cell_length_a 3.7195
_cell_length_b 20.7158
_cell_length_c 9.9713
_cell_angle_alpha 90.00
_cell_angle_beta 90.00
_cell_angle_gamma 90.00
loop_
_space_group_symop_operation_xyz
'x,y,z'
'-x,-y,z'
'-x,y,z'
'x,-y,z'
'x+1/2,y+1/2,z+1/2'
'-x+1/2,-y+1/2,z+1/2'
'-x+1/2,y+1/2,z+1/2'
'x+1/2,-y+1/2,z+1/2'
loop_
_atom_site_label
_atom_site_type_symbol
_atom_site_fract_x
_atom_site_fract_y
_atom_site_fract_z
_atom_site_occupancy
Pr1 Pr 0.0000 0.0000 0.0000 1
Pr2 Pr 0.0000 0.1292 0.4569 1
Pr3 Pr 0.0000 0.3386 0.6547 1
Pr4 Pr 0.0000 0.3679 0.2831 1
Ho1 Ho 0.0000 0.0000 0.6480 1
Ho2 Ho 0.0000 0.5000 0.8244 1
Tl1 Tl 0.0000 0.2436 0.9389 1
```

Output
* energy of formation: -0.029 eV per atom


Record 3
The following is a PBE-GGA calculation of a relaxed structure of Pr2Ho3Tl2, from the Alexandria database.

CIF file:
```
data_Pr2Ho3Tl2
_space_group_name_H-M_alt 'C 1 2/m 1'
_space_group_IT_number 12
_cell_length_a 11.0457
_cell_length_b 4.9077
_cell_length_c 8.4989
_cell_angle_alpha 90.00
_cell_angle_beta 108.01
_cell_angle_gamma 90.00
loop_
_space_group_symop_operation_xyz
'x,y,z'
'-x,-y,-z'
'-x,y,-z'
'x,-y,z'
'x+1/2,y+1/2,z'
'-x+1/2,-y+1/2,-z'
'-x+1/2,y+1/2,-z'
'x+1/2,-y+1/2,z'
loop_
_atom_site_label
_atom_site_type_symbol
_atom_site_fract_x
_atom_site_fract_y
_atom_site_fract_z
_atom_site_occupancy
Pr1 Pr 0.1143 0.0000 0.2679 1
Ho1 Ho 0.0000 0.5000 0.5000 1
Ho2 Ho 0.1370 0.5000 0.9390 1
Tl1 Tl 0.1822 0.0000 0.6878 1
```

Output
* energy of formation: -0.163 eV per atom


Record 4
The following is a PBE-GGA calculation of a relaxed structure of Pr5Ho3Tl, from the Alexandria database.

CIF file:
```
data_Pr5Ho3Tl
_space_group_name_H-M_alt 'C 1 2/m 1'
_space_group_IT_number 12
_cell_length_a 13.9102
_cell_length_b 8.1938
_cell_length_c 11.4134
_cell_angle_alpha 90.00
_cell_angle_beta 96.50
_cell_angle_gamma 90.00
loop_
_space_group_symop_operation_xyz
'x,y,z'
'-x,-y,-z'
'-x,y,-z'
'x,-y,z'
'x+1/2,y+1/2,z'
'-x+1/2,-y+1/2,-z'
'-x+1/2,y+1/2,-z'
'x+1/2,-y+1/2,z'
loop_
_atom_site_label
_atom_site_type_symbol
_atom_site_fract_x
_atom_site_fract_y
_atom_site_fract_z
_atom_site_occupancy
Pr1 Pr 0.0000 0.1695 0.0000 1
Pr2 Pr 0.0095 0.0000 0.3708 1
Pr3 Pr 0.1259 0.2873 0.7515 1
Pr4 Pr 0.2376 0.5000 0.0394 1
Ho1 Ho 0.0000 0.5000 0.0000 1
Ho2 Ho 0.0000 0.5000 0.5000 1
Ho3 Ho 0.1710 0.0000 0.2166 1
Ho4 Ho 0.2445 0.0000 0.5243 1
Tl1 Tl 0.0960 0.5000 0.2606 1
```

Output
* energy of formation: 0.381 eV per atom


What E values result from the calculations? In sequence: -3.56 -4.33 -4.17 -4.06 eV/atom.